i | # PBE GdLuPa, relaxed
data_GdLuPa
_cell_length_a 3.4017
_cell_length_b 3.4017
_cell_length_c 8.4662
_cell_angle_alpha 90.00
_cell_angle_beta 90.00
_cell_angle_gamma 120.00
_symmetry_space_group_name_H-M 'P 3 m 1'
_symmetry_Int_Tables_number 156
loop_
_symmetry_equiv_pos_as_xyz
'x,y,z'
'-y,x-y,z'
'-x+y,-x,z'
'-y,-x,z'
'-x+y,y,z'
'x,x-y,z'
loop_
_atom_site_label
_atom_site_type_symbol
_atom_site_fract_x
_atom_site_fract_y
_atom_site_fract_z
Gd1 Gd 0.0000 0.0000 0.0000
Lu1 Lu 0.3333 0.6667 0.6403
Pa1 Pa 0.6667 0.3333 0.3227
# Magnetic moment   7.198 μB per formula unit



ii | # PBE GdLuPa, relaxed
data_GdLuPa
_cell_length_a 3.3875
_cell_length_b 3.3875
_cell_length_c 14.9350
_cell_angle_alpha 90.00
_cell_angle_beta 90.00
_cell_angle_gamma 90.00
_symmetry_space_group_name_H-M 'I 4 m m'
_symmetry_Int_Tables_number 107
_symmetry_space_group_name_Hall 'I 4 -2'
loop_
_atom_site_label
_atom_site_type_symbol
_atom_site_fract_x
_atom_site_fract_y
_atom_site_fract_z
Gd1 Gd 0.0000 0.0000 0.0000
Lu1 Lu 0.0000 0.0000 0.3137
Pa1 Pa 0.0000 0.0000 0.6586
# Magnetic moment   6.913 μB per formula unit



The data favor i; the next most stable structure lies 29 meV/atom above it.